(1)
Material: Be6Ni5Ru
Method: DFT, PBE-GGA
State: relaxed

Geometry as POSCAR:
```
Be6Ni5Ru
1.0
3.5342 -0.0211 1.1778
0.0286 5.3294 0.0095
-0.0003 -0.0106 5.8921
Be Ru Ni
6 1 5
direct
0.8323 0.7479 0.3354
0.8323 0.2521 0.3354
0.5000 0.2561 0.0000
0.5000 0.7439 0.0000
0.1677 0.7479 0.6646
0.1677 0.2521 0.6646
0.0000 0.0000 0.0000
0.6681 0.5000 0.6638
0.3290 0.0000 0.3420
0.0000 0.5000 0.0000
0.6710 0.0000 0.6580
0.3319 0.5000 0.3362
```

Summary:
The formation energy is -456 meV per atom.

***

(2)
Material: LiHo3Np3Se8
Method: DFT, PBE-GGA
State: relaxed

Geometry as POSCAR:
```
LiHo3Np3Se8
1.0
-7.0630 -3.9228 0.9175
7.0084 -4.0574 0.6391
-2.1736 5.2864 5.7774
Li Ho Np Se
1 3 3 8
direct
0.0000 0.0000 0.5000
0.0000 0.0000 0.0000
0.0000 0.5000 0.0000
0.5000 0.5000 0.0000
0.5000 0.0000 0.5000
0.5000 0.5000 0.5000
0.0000 0.5000 0.5000
0.2486 0.4965 0.2444
0.7514 0.5035 0.7556
0.7530 0.5054 0.2483
0.2470 0.4946 0.7517
0.7536 0.9974 0.2488
0.2464 0.0026 0.7512
0.2460 0.9983 0.2507
0.7540 0.0017 0.7493
```

Summary:
The value obtained for the formation energy without anion corrections is -1.4197 eV/atom.

***

In the order shown, the computed DFT total energy values come out to -5.501 -6.909 eV/atom.
In the order shown, the computed magnetic moment values come out to 0.0 4.3 μB per cell.